(1)
Here is crystalline Y2Ni at its relaxed geometry from Alexandria. Energies are from GGA-PBE.

POSCAR file:
```
Y2Ni
1.0
6.464 0.000 0.000
0.000 6.549 0.000
0.000 0.000 3.834
Y Ni
4 2
Direct
0.247 0.157 0.000
0.253 0.657 0.500
0.747 0.343 0.500
0.753 0.843 0.000
0.000 0.500 0.000
0.500 0.000 0.500
```

## Properties
Crystal system: orthorhombic
Total DFT energy (no corrections), eV/atom: -6.422
SG: Pnnm, No. 58
DFT formation energy, eV/atom: -0.19
Total moment, Bohr magnetons per cell: 0.00

---

(2)
Here is crystalline Cu2WAu at its relaxed geometry from Alexandria. Energies are from GGA-PBE.

POSCAR file:
```
Cu2WAu
1.0
2.699 0.000 0.000
0.000 3.737 0.000
0.000 0.000 5.795
Cu W Au
2 1 1
Direct
0.000 0.000 0.235
0.000 0.000 0.765
0.500 0.500 0.000
0.500 0.500 0.500
```

## Properties
Crystal system: orthorhombic
Total DFT energy (no corrections), eV/atom: -5.806
Energy relative to the lowest polymorph listed for this composition, eV/atom: 0.105
SG: Pmmm, No. 47
DFT formation energy, eV/atom: 0.30
Total moment, Bohr magnetons per cell: 0.00

---

(3)
Here is crystalline CaCu2H2 at its relaxed geometry from Alexandria. Energies are from GGA-PBE.

POSCAR file:
```
CaCu2H2
1.0
-1.848 1.848 4.220
1.848 -1.848 4.220
1.848 1.848 -4.220
Ca Cu H
1 2 2
Direct
0.000 0.000 0.000
0.344 0.344 0.000
0.656 0.656 0.000
0.250 0.750 0.500
0.750 0.250 0.500
```

## Properties
Crystal system: tetragonal
Total DFT energy (no corrections), eV/atom: -3.383
SG: I4/mmm, No. 139
Total moment, Bohr magnetons per cell: 0.00

---

Among the records above, which one has the lowest total DFT energy (no corrections)? Y2Ni

---

What is the total DFT energy (no corrections) in the third record? -3.383 eV/atom

---

Look up the total moment of the third one. 0.00 Bohr magnetons per cell